# 1
Compound: Zr2AsRu2
Source: Alexandria
Functional: SCAN
Structure: PBEsol geometry

Results
The formation enthalpy at 0 K is -0.274 eV/atom. The value obtained for the total energy is -30.5221 eV/atom. As for the space-group type: I4/mmm, No. 139.

Lattice parameters (Å, degrees): 8.043 8.043 8.043 155.29 155.29 35.23
Positions (direct):
Zr: 0.102 0.102 0.000
Zr: 0.898 0.898 0.000
As: 0.500 0.500 0.000
Ru: 0.250 0.750 0.500
Ru: 0.750 0.250 0.500

# 2
Compound: AsS
Source: Alexandria
Functional: SCAN
Structure: PBEsol geometry

Results
The value obtained for the total energy is -15.0267 eV/atom. For the polymorph energy (0 for the lowest one), the calculation gives 0.0516 eV per atom. As for the space-group type: Pca2_1, No. 29. The formation energy from raw total energies comes out at -117.4 meV per atom.

Lattice parameters (Å, degrees): 10.100 7.447 17.465 90.00 90.00 90.00
Positions (direct):
As: 0.108 0.127 0.003
As: 0.109 0.373 0.902
As: 0.118 0.623 0.000
As: 0.118 0.877 0.904
As: 0.143 0.618 0.251
As: 0.145 0.882 0.653
As: 0.152 0.120 0.283
As: 0.153 0.380 0.622
As: 0.347 0.380 0.122
As: 0.348 0.120 0.783
As: 0.355 0.882 0.153
As: 0.357 0.618 0.751
As: 0.382 0.623 0.500
As: 0.382 0.877 0.404
As: 0.391 0.373 0.402
As: 0.392 0.127 0.503
As: 0.608 0.873 0.003
As: 0.609 0.627 0.902
As: 0.618 0.123 0.904
As: 0.618 0.377 0.000
As: 0.643 0.382 0.251
As: 0.645 0.118 0.653
As: 0.652 0.880 0.283
As: 0.653 0.620 0.622
As: 0.847 0.620 0.122
As: 0.848 0.880 0.783
As: 0.855 0.118 0.153
As: 0.857 0.382 0.751
As: 0.882 0.123 0.404
As: 0.882 0.377 0.500
As: 0.891 0.627 0.402
As: 0.892 0.873 0.503
S: 0.129 0.383 0.156
S: 0.131 0.117 0.749
S: 0.132 0.866 0.159
S: 0.134 0.634 0.745
S: 0.163 0.882 0.374
S: 0.164 0.618 0.531
S: 0.174 0.367 0.368
S: 0.175 0.133 0.537
S: 0.325 0.133 0.037
S: 0.326 0.367 0.868
S: 0.336 0.618 0.031
S: 0.337 0.882 0.874
S: 0.366 0.634 0.245
S: 0.368 0.866 0.659
S: 0.369 0.117 0.249
S: 0.371 0.383 0.656
S: 0.629 0.617 0.156
S: 0.631 0.883 0.749
S: 0.632 0.134 0.159
S: 0.634 0.366 0.745
S: 0.663 0.118 0.374
S: 0.664 0.382 0.531
S: 0.674 0.633 0.368
S: 0.675 0.867 0.537
S: 0.825 0.867 0.037
S: 0.826 0.633 0.868
S: 0.836 0.382 0.031
S: 0.837 0.118 0.874
S: 0.866 0.366 0.245
S: 0.868 0.134 0.659
S: 0.869 0.883 0.249
S: 0.871 0.617 0.656

# 3
Compound: AsS
Source: Alexandria
Functional: SCAN
Structure: PBEsol geometry

Results
The value obtained for the total energy is -15.0783 eV/atom. For the polymorph energy (0 for the lowest one), the calculation gives 0.0000 eV per atom. As for the space-group type: P2_1/c, No. 14. The formation energy from raw total energies comes out at -168.9 meV per atom.

Lattice parameters (Å, degrees): 6.530 13.529 9.462 90.00 113.65 90.00
Positions (direct):
As: 0.056 0.138 0.435
As: 0.056 0.362 0.935
As: 0.152 0.020 0.887
As: 0.152 0.480 0.387
As: 0.178 0.664 0.466
As: 0.178 0.836 0.966
As: 0.373 0.628 0.177
As: 0.373 0.872 0.677
As: 0.627 0.128 0.323
As: 0.627 0.372 0.823
As: 0.822 0.164 0.034
As: 0.822 0.336 0.534
As: 0.848 0.520 0.613
As: 0.848 0.980 0.113
As: 0.944 0.638 0.065
As: 0.944 0.862 0.565
S: 0.097 0.228 0.245
S: 0.097 0.272 0.745
S: 0.134 0.507 0.848
S: 0.134 0.993 0.348
S: 0.417 0.023 0.790
S: 0.417 0.477 0.290
S: 0.457 0.713 0.399
S: 0.457 0.787 0.899
S: 0.543 0.213 0.101
S: 0.543 0.287 0.601
S: 0.583 0.523 0.710
S: 0.583 0.977 0.210
S: 0.866 0.007 0.652
S: 0.866 0.493 0.152
S: 0.903 0.728 0.255
S: 0.903 0.772 0.755

# 4
Compound: AsS
Source: Alexandria
Functional: SCAN
Structure: PBEsol geometry

Results
The value obtained for the total energy is -15.0724 eV/atom. For the polymorph energy (0 for the lowest one), the calculation gives 0.0059 eV per atom. As for the space-group type: C2/c, No. 15. The formation energy from raw total energies comes out at -163.1 meV per atom.

Lattice parameters (Å, degrees): 6.605 6.605 9.150 100.60 100.60 81.31
Positions (direct):
As: 0.187 0.776 0.554
As: 0.224 0.813 0.946
As: 0.252 0.410 0.637
As: 0.410 0.252 0.137
As: 0.590 0.748 0.863
As: 0.748 0.590 0.363
As: 0.776 0.187 0.054
As: 0.813 0.224 0.446
S: 0.042 0.958 0.750
S: 0.125 0.495 0.855
S: 0.414 0.586 0.250
S: 0.495 0.125 0.355
S: 0.505 0.875 0.645
S: 0.586 0.414 0.750
S: 0.875 0.505 0.145
S: 0.958 0.042 0.250